# 1
First-principles (PBE) data for an optimized crystal structure of ZnPbCl2, as listed in Alexandria via LeMat-Bulk.

The structure in POSCAR format:
```
ZnPbCl2
1.0
1.993 -3.072 0.000
1.993 3.072 0.000
0.000 0.000 9.005
Zn Pb Cl
1 1 2
Direct
0.000 0.000 0.000 Zn
0.500 0.500 0.738 Pb
0.000 0.000 0.521 Cl
0.500 0.500 0.151 Cl
```

Calculated values
crystal system: orthorhombic
M_tot: 0.0 μB/f.u.
D(E_F): 1.936 states/eV/cell
volume: 27.561 Å³ per atom
energy: -0.0986 Ha/atom

***

# 2
First-principles (PBE) data for an optimized crystal structure of Ho7TlCo5, as listed in Alexandria via LeMat-Bulk.

The structure in POSCAR format:
```
Ho7TlCo5
1.0
-2.792 5.164 4.844
2.792 -5.164 4.844
2.792 5.164 -4.844
Ho Tl Co
7 1 5
Direct
0.000 0.000 0.000 Ho
0.318 0.630 0.688 Ho
0.356 0.356 0.000 Ho
0.364 0.025 0.339 Ho
0.685 0.025 0.661 Ho
0.821 0.321 0.500 Ho
0.943 0.630 0.312 Ho
0.681 0.681 0.000 Tl
0.077 0.137 0.502 Co
0.077 0.575 0.940 Co
0.313 0.813 0.500 Co
0.635 0.137 0.060 Co
0.635 0.575 0.498 Co
```

Calculated values
energy of formation: -0.06 eV per atom
crystal system: orthorhombic
M_tot: 0.0 μB/f.u.
D(E_F): 11.735 states/eV/cell
volume: 21.484 Å³ per atom
energy: -0.2000 Ha/atom

***

# 3
First-principles (PBE) data for an optimized crystal structure of YScAs2, as listed in Alexandria via LeMat-Bulk.

The structure in POSCAR format:
```
YScAs2
1.0
3.096 0.000 0.000
0.000 3.666 0.000
0.000 0.000 7.339
Y Sc As
1 1 2
Direct
0.000 0.000 0.000 Y
0.000 0.000 0.500 Sc
0.500 0.500 0.263 As
0.500 0.500 0.737 As
```

Calculated values
energy of formation: -0.97 eV per atom
crystal system: orthorhombic
M_tot: 0.0 μB/f.u.
D(E_F): 2.540 states/eV/cell
volume: 20.828 Å³ per atom
energy: -0.2385 Ha/atom

***

# 4
First-principles (PBE) data for an optimized crystal structure of LaAgRu2, as listed in Alexandria via LeMat-Bulk.

The structure in POSCAR format:
```
LaAgRu2
1.0
0.000 3.377 3.377
3.377 0.000 3.377
3.377 3.377 0.000
La Ag Ru
1 1 2
Direct
0.000 0.000 0.000 La
0.250 0.250 0.250 Ag
0.500 0.500 0.500 Ru
0.750 0.750 0.750 Ru
```

Calculated values
energy of formation: 0.39 eV per atom
crystal system: cubic
M_tot: 1.7 μB/f.u.
D(E_F): 4.799 states/eV/cell
volume: 19.255 Å³ per atom
energy: -0.2276 Ha/atom

***

- Look up the D(E_F) of the first one.
  1.936 states/eV/cell

***

- What is the D(E_F) in the second record?
  11.735 states/eV/cell